# 1
Density functional theory data (PBE) for Cs2InPbS4 after structural relaxation.

Lattice parameters (Å, degrees): 6.7755 15.1174 24.0686 90.00 90.00 90.00
Space group Fddd (No. 70, origin choice 2)
Unique sites:
Cs 0.1250 0.1250 0.3058 [16 per cell]
In 0.1250 0.1250 0.1250 [8 per cell]
Pb 0.1250 0.1250 0.6250 [8 per cell]
S 0.1007 0.2778 0.4298 [32 per cell]

Calculated values
- formation energy without anion corrections (eV per formula unit) = -5.91
- energy (eV/atom) = -3.822


# 2
Density functional theory data (PBE) for InGa2Ir3 after structural relaxation.

Lattice parameters (Å, degrees): 3.0225 3.0225 10.0401 90.00 90.00 90.00
Space group P4/mmm (No. 123)
Unique sites:
In 0.0000 0.0000 0.0000 [1 per cell]
Ga 0.0000 0.0000 0.3418 [2 per cell]
Ir 0.5000 0.5000 0.1940 [2 per cell]
Ir 0.5000 0.5000 0.5000 [1 per cell]

Calculated values
- energy (eV/atom) = -6.194
- energy of formation from the pure elements (eV per formula unit) = -1.79


# 3
Density functional theory data (PBE) for Mg2Tl2Zn after structural relaxation.

Lattice parameters (Å, degrees): 7.4815 7.4815 4.4011 90.00 90.00 90.00
Space group P4/mbm (No. 127)
Unique sites:
Mg 0.1561 0.3439 0.0000 [4 per cell]
Tl 0.1511 0.6511 0.5000 [4 per cell]
Zn 0.0000 0.0000 0.5000 [2 per cell]

Calculated values
- energy (eV/atom) = -1.726
- energy above the lowest structure with this stoichiometry (kJ per mole of atoms) = 8.9
- energy of formation from the pure elements (eV per formula unit) = 0.57


# 4
Density functional theory data (PBE) for TlTc2Mo after structural relaxation.

Lattice parameters (Å, degrees): 9.5494 3.0344 4.7918 90.00 103.11 90.00
Space group Cm (No. 8)
Unique sites:
Tl 0.0000 0.0000 0.0000 [2 per cell]
Tc 0.2610 0.5000 0.2887 [2 per cell]
Tc 0.4964 0.0000 0.4961 [2 per cell]
Mo 0.2359 0.0000 0.7047 [2 per cell]

Calculated values
- energy (eV/atom) = -7.977
- energy above the lowest structure with this stoichiometry (kJ per mole of atoms) = 10.1
- energy of formation from the pure elements (eV per formula unit) = 2.02


Question: The lowest energy belongs to which entry?
Answer: TlTc2Mo


Question: The highest energy belongs to which entry?
Answer: Mg2Tl2Zn